Version P
The following is a DFT calculation (PBE) of a geometry-optimized Sm2YOs structure.

Summary:
M_tot: 0.29 μB/f.u.
Volume: 355.89 Å³/cell

Structure (CIF):
```
data_Sm2YOs
_chemical_formula_sum 'Sm6 Y3 Os3'
_symmetry_space_group_name_H-M 'P 1'
_symmetry_Int_Tables_number 1
_cell_length_a 3.546
_cell_length_b 3.546
_cell_length_c 32.674
_cell_angle_alpha 90.00
_cell_angle_beta 90.00
_cell_angle_gamma 120.00
loop_
_symmetry_equiv_pos_as_xyz
'x,y,z'
loop_
_atom_site_label
_atom_site_type_symbol
_atom_site_fract_x
_atom_site_fract_y
_atom_site_fract_z
Sm1 Sm 0.000 0.000 0.106
Sm2 Sm 0.000 0.000 0.894
Sm3 Sm 0.333 0.667 0.561
Sm4 Sm 0.333 0.667 0.773
Sm5 Sm 0.667 0.333 0.227
Sm6 Sm 0.667 0.333 0.439
Y1 Y 0.000 0.000 0.000
Y2 Y 0.333 0.667 0.667
Y3 Y 0.667 0.333 0.333
Os1 Os 0.000 0.000 0.500
Os2 Os 0.333 0.667 0.167
Os3 Os 0.667 0.333 0.833
```


Version Q
The following is a DFT calculation (PBE) of a geometry-optimized Sm2YOs structure.

Summary:
M_tot: 0.00 μB/f.u.
Volume: 446.43 Å³/cell

Structure (CIF):
```
data_Sm2YOs
_chemical_formula_sum 'Sm8 Y4 Os4'
_symmetry_space_group_name_H-M 'P 1'
_symmetry_Int_Tables_number 1
_cell_length_a 7.470
_cell_length_b 9.322
_cell_length_c 6.411
_cell_angle_alpha 90.00
_cell_angle_beta 90.00
_cell_angle_gamma 90.00
loop_
_symmetry_equiv_pos_as_xyz
'x,y,z'
loop_
_atom_site_label
_atom_site_type_symbol
_atom_site_fract_x
_atom_site_fract_y
_atom_site_fract_z
Sm1 Sm 0.175 0.064 0.169
Sm2 Sm 0.175 0.436 0.169
Sm3 Sm 0.325 0.564 0.669
Sm4 Sm 0.325 0.936 0.669
Sm5 Sm 0.675 0.064 0.331
Sm6 Sm 0.675 0.436 0.331
Sm7 Sm 0.825 0.564 0.831
Sm8 Sm 0.825 0.936 0.831
Y1 Y 0.041 0.250 0.634
Y2 Y 0.459 0.750 0.134
Y3 Y 0.541 0.250 0.866
Y4 Y 0.959 0.750 0.366
Os1 Os 0.116 0.750 0.960
Os2 Os 0.384 0.250 0.460
Os3 Os 0.616 0.750 0.540
Os4 Os 0.884 0.250 0.040
```


Version R
The following is a DFT calculation (PBE) of a geometry-optimized Sm2YOs structure.

Summary:
M_tot: 0.00 μB/f.u.
Volume: 445.42 Å³/cell

Structure (CIF):
```
data_Sm2YOs
_chemical_formula_sum 'Sm8 Y4 Os4'
_symmetry_space_group_name_H-M 'P 1'
_symmetry_Int_Tables_number 1
_cell_length_a 4.075
_cell_length_b 11.963
_cell_length_c 9.136
_cell_angle_alpha 90.00
_cell_angle_beta 90.00
_cell_angle_gamma 90.00
loop_
_symmetry_equiv_pos_as_xyz
'x,y,z'
loop_
_atom_site_label
_atom_site_type_symbol
_atom_site_fract_x
_atom_site_fract_y
_atom_site_fract_z
Sm1 Sm 0.000 0.143 0.066
Sm2 Sm 0.000 0.143 0.434
Sm3 Sm 0.000 0.857 0.566
Sm4 Sm 0.000 0.857 0.934
Sm5 Sm 0.500 0.357 0.566
Sm6 Sm 0.500 0.357 0.934
Sm7 Sm 0.500 0.643 0.066
Sm8 Sm 0.500 0.643 0.434
Y1 Y 0.000 0.424 0.250
Y2 Y 0.000 0.576 0.750
Y3 Y 0.500 0.076 0.750
Y4 Y 0.500 0.924 0.250
Os1 Os 0.000 0.240 0.750
Os2 Os 0.000 0.760 0.250
Os3 Os 0.500 0.260 0.250
Os4 Os 0.500 0.740 0.750
```


Quick one: most stable of them? version Q


Version P
The following is a DFT calculation (PBE) of a geometry-optimized SmZrOs structure.

Summary:
M_tot: 0.00 μB/f.u.
Volume: 140.89 Å³/cell

Structure (CIF):
```
data_SmZrOs
_chemical_formula_sum 'Sm2 Zr2 Os2'
_symmetry_space_group_name_H-M 'P 1'
_symmetry_Int_Tables_number 1
_cell_length_a 3.300
_cell_length_b 3.300
_cell_length_c 12.938
_cell_angle_alpha 90.00
_cell_angle_beta 90.00
_cell_angle_gamma 90.00
loop_
_symmetry_equiv_pos_as_xyz
'x,y,z'
loop_
_atom_site_label
_atom_site_type_symbol
_atom_site_fract_x
_atom_site_fract_y
_atom_site_fract_z
Sm1 Sm 0.000 0.000 0.000
Sm2 Sm 0.500 0.500 0.500
Zr1 Zr 0.000 0.000 0.265
Zr2 Zr 0.500 0.500 0.765
Os1 Os 0.000 0.000 0.653
Os2 Os 0.500 0.500 0.153
```


Version Q
The following is a DFT calculation (PBE) of a geometry-optimized SmZrOs structure.

Summary:
M_tot: 0.00 μB/f.u.
Volume: 149.95 Å³/cell

Structure (CIF):
```
data_SmZrOs
_chemical_formula_sum 'Sm2 Zr2 Os2'
_symmetry_space_group_name_H-M 'P 1'
_symmetry_Int_Tables_number 1
_cell_length_a 5.377
_cell_length_b 4.817
_cell_length_c 6.068
_cell_angle_alpha 90.00
_cell_angle_beta 107.45
_cell_angle_gamma 90.00
loop_
_symmetry_equiv_pos_as_xyz
'x,y,z'
loop_
_atom_site_label
_atom_site_type_symbol
_atom_site_fract_x
_atom_site_fract_y
_atom_site_fract_z
Sm1 Sm 0.202 0.250 0.405
Sm2 Sm 0.798 0.750 0.595
Zr1 Zr 0.340 0.750 0.030
Zr2 Zr 0.660 0.250 0.970
Os1 Os 0.128 0.250 0.876
Os2 Os 0.872 0.750 0.124
```


Quick one: most stable of them? version Q


Version P
The following is a DFT calculation (PBE) of a geometry-optimized Sn3Os structure.

Summary:
M_tot: 0.00 μB/f.u.
Volume: 177.55 Å³/cell

Structure (CIF):
```
data_Sn3Os
_chemical_formula_sum 'Sn6 Os2'
_symmetry_space_group_name_H-M 'P 1'
_symmetry_Int_Tables_number 1
_cell_length_a 3.325
_cell_length_b 8.718
_cell_length_c 6.125
_cell_angle_alpha 90.00
_cell_angle_beta 90.00
_cell_angle_gamma 90.00
loop_
_symmetry_equiv_pos_as_xyz
'x,y,z'
loop_
_atom_site_label
_atom_site_type_symbol
_atom_site_fract_x
_atom_site_fract_y
_atom_site_fract_z
Sn1 Sn 0.000 0.000 0.000
Sn2 Sn 0.000 0.190 0.394
Sn3 Sn 0.000 0.810 0.394
Sn4 Sn 0.500 0.310 0.894
Sn5 Sn 0.500 0.500 0.500
Sn6 Sn 0.500 0.690 0.894
Os1 Os 0.000 0.500 0.155
Os2 Os 0.500 0.000 0.655
```


Version Q
The following is a DFT calculation (PBE) of a geometry-optimized Sn3Os structure.

Summary:
M_tot: 0.00 μB/f.u.
Volume: 349.80 Å³/cell

Structure (CIF):
```
data_Sn3Os
_chemical_formula_sum 'Sn12 Os4'
_symmetry_space_group_name_H-M 'P 1'
_symmetry_Int_Tables_number 1
_cell_length_a 4.229
_cell_length_b 9.483
_cell_length_c 8.722
_cell_angle_alpha 90.00
_cell_angle_beta 90.00
_cell_angle_gamma 90.00
loop_
_symmetry_equiv_pos_as_xyz
'x,y,z'
loop_
_atom_site_label
_atom_site_type_symbol
_atom_site_fract_x
_atom_site_fract_y
_atom_site_fract_z
Sn1 Sn 0.000 0.075 0.250
Sn2 Sn 0.000 0.357 0.052
Sn3 Sn 0.000 0.357 0.448
Sn4 Sn 0.000 0.643 0.552
Sn5 Sn 0.000 0.643 0.948
Sn6 Sn 0.000 0.925 0.750
Sn7 Sn 0.500 0.143 0.552
Sn8 Sn 0.500 0.143 0.948
Sn9 Sn 0.500 0.425 0.750
Sn10 Sn 0.500 0.575 0.250
Sn11 Sn 0.500 0.857 0.052
Sn12 Sn 0.500 0.857 0.448
Os1 Os 0.000 0.221 0.750
Os2 Os 0.000 0.779 0.250
Os3 Os 0.500 0.279 0.250
Os4 Os 0.500 0.721 0.750
```


Quick one: most stable of them? version Q


Version P
The following is a DFT calculation (PBE) of a geometry-optimized TaSn2Os structure.

Summary:
M_tot: 0.00 μB/f.u.
Volume: 329.63 Å³/cell

Structure (CIF):
```
data_TaSn2Os
_chemical_formula_sum 'Ta4 Sn8 Os4'
_symmetry_space_group_name_H-M 'P 1'
_symmetry_Int_Tables_number 1
_cell_length_a 4.087
_cell_length_b 4.087
_cell_length_c 19.730
_cell_angle_alpha 90.00
_cell_angle_beta 90.00
_cell_angle_gamma 90.00
loop_
_symmetry_equiv_pos_as_xyz
'x,y,z'
loop_
_atom_site_label
_atom_site_type_symbol
_atom_site_fract_x
_atom_site_fract_y
_atom_site_fract_z
Ta1 Ta 0.000 0.000 0.000
Ta2 Ta 0.000 0.500 0.250
Ta3 Ta 0.500 0.000 0.750
Ta4 Ta 0.500 0.500 0.500
Sn1 Sn 0.244 0.250 0.625
Sn2 Sn 0.250 0.744 0.875
Sn3 Sn 0.250 0.756 0.375
Sn4 Sn 0.256 0.250 0.125
Sn5 Sn 0.744 0.750 0.125
Sn6 Sn 0.750 0.244 0.375
Sn7 Sn 0.750 0.256 0.875
Sn8 Sn 0.756 0.750 0.625
Os1 Os 0.000 0.000 0.500
Os2 Os 0.000 0.500 0.750
Os3 Os 0.500 0.000 0.250
Os4 Os 0.500 0.500 0.000
```


Version Q
The following is a DFT calculation (PBE) of a geometry-optimized TaSn2Os structure.

Summary:
M_tot: 1.89 μB/f.u.
Volume: 298.85 Å³/cell

Structure (CIF):
```
data_TaSn2Os
_chemical_formula_sum 'Ta4 Sn8 Os4'
_symmetry_space_group_name_H-M 'P 1'
_symmetry_Int_Tables_number 1
_cell_length_a 6.686
_cell_length_b 6.686
_cell_length_c 6.686
_cell_angle_alpha 90.00
_cell_angle_beta 90.00
_cell_angle_gamma 90.00
loop_
_symmetry_equiv_pos_as_xyz
'x,y,z'
loop_
_atom_site_label
_atom_site_type_symbol
_atom_site_fract_x
_atom_site_fract_y
_atom_site_fract_z
Ta1 Ta 0.000 0.000 0.000
Ta2 Ta 0.000 0.500 0.500
Ta3 Ta 0.500 0.000 0.500
Ta4 Ta 0.500 0.500 0.000
Sn1 Sn 0.250 0.250 0.250
Sn2 Sn 0.250 0.250 0.750
Sn3 Sn 0.250 0.750 0.250
Sn4 Sn 0.250 0.750 0.750
Sn5 Sn 0.750 0.250 0.250
Sn6 Sn 0.750 0.250 0.750
Sn7 Sn 0.750 0.750 0.250
Sn8 Sn 0.750 0.750 0.750
Os1 Os 0.000 0.000 0.500
Os2 Os 0.000 0.500 0.000
Os3 Os 0.500 0.000 0.000
Os4 Os 0.500 0.500 0.500
```


Quick one: most stable of them? version Q


Version P
The following is a DFT calculation (PBE) of a geometry-optimized Th4SnOs structure.

Summary:
M_tot: 0.00 μB/f.u.
Volume: 344.24 Å³/cell

Structure (CIF):
```
data_Th4SnOs
_chemical_formula_sum 'Th8 Sn2 Os2'
_symmetry_space_group_name_H-M 'P 1'
_symmetry_Int_Tables_number 1
_cell_length_a 8.111
_cell_length_b 8.111
_cell_length_c 6.134
_cell_angle_alpha 101.26
_cell_angle_beta 101.26
_cell_angle_gamma 113.97
loop_
_symmetry_equiv_pos_as_xyz
'x,y,z'
loop_
_atom_site_label
_atom_site_type_symbol
_atom_site_fract_x
_atom_site_fract_y
_atom_site_fract_z
Th1 Th 0.063 0.706 0.937
Th2 Th 0.206 0.372 0.645
Th3 Th 0.294 0.937 0.563
Th4 Th 0.372 0.206 0.145
Th5 Th 0.628 0.794 0.855
Th6 Th 0.706 0.063 0.437
Th7 Th 0.794 0.628 0.355
Th8 Th 0.937 0.294 0.063
Sn1 Sn 0.381 0.619 0.250
Sn2 Sn 0.619 0.381 0.750
Os1 Os 0.002 0.998 0.750
Os2 Os 0.998 0.002 0.250
```


Version Q
The following is a DFT calculation (PBE) of a geometry-optimized Th4SnOs structure.

Summary:
M_tot: 0.00 μB/f.u.
Volume: 341.73 Å³/cell

Structure (CIF):
```
data_Th4SnOs
_chemical_formula_sum 'Th8 Sn2 Os2'
_symmetry_space_group_name_H-M 'P 1'
_symmetry_Int_Tables_number 1
_cell_length_a 7.471
_cell_length_b 7.471
_cell_length_c 6.122
_cell_angle_alpha 90.00
_cell_angle_beta 90.00
_cell_angle_gamma 90.00
loop_
_symmetry_equiv_pos_as_xyz
'x,y,z'
loop_
_atom_site_label
_atom_site_type_symbol
_atom_site_fract_x
_atom_site_fract_y
_atom_site_fract_z
Th1 Th 0.143 0.320 0.000
Th2 Th 0.143 0.680 0.500
Th3 Th 0.320 0.143 0.500
Th4 Th 0.320 0.857 0.000
Th5 Th 0.680 0.143 0.000
Th6 Th 0.680 0.857 0.500
Th7 Th 0.857 0.320 0.500
Th8 Th 0.857 0.680 0.000
Sn1 Sn 0.500 0.500 0.250
Sn2 Sn 0.500 0.500 0.750
Os1 Os 0.000 0.000 0.250
Os2 Os 0.000 0.000 0.750
```


Quick one: most stable of them? version Q


Version P
The following is a DFT calculation (PBE) of a geometry-optimized Th7Sn2Os2 structure.

Summary:
M_tot: 0.00 μB/f.u.
Volume: 336.75 Å³/cell

Structure (CIF):
```
data_Th7Sn2Os2
_chemical_formula_sum 'Th7 Sn2 Os2'
_symmetry_space_group_name_H-M 'P 1'
_symmetry_Int_Tables_number 1
_cell_length_a 7.079
_cell_length_b 7.079
_cell_length_c 6.997
_cell_angle_alpha 90.00
_cell_angle_beta 90.00
_cell_angle_gamma 106.21
loop_
_symmetry_equiv_pos_as_xyz
'x,y,z'
loop_
_atom_site_label
_atom_site_type_symbol
_atom_site_fract_x
_atom_site_fract_y
_atom_site_fract_z
Th1 Th 0.000 0.000 0.000
Th2 Th 0.000 0.500 0.260
Th3 Th 0.000 0.500 0.740
Th4 Th 0.500 0.000 0.260
Th5 Th 0.500 0.000 0.740
Th6 Th 0.500 0.500 0.240
Th7 Th 0.500 0.500 0.760
Sn1 Sn 0.172 0.172 0.500
Sn2 Sn 0.828 0.828 0.500
Os1 Os 0.270 0.730 0.000
Os2 Os 0.730 0.270 0.000
```


Version Q
The following is a DFT calculation (PBE) of a geometry-optimized Th7Sn2Os2 structure.

Summary:
M_tot: 0.00 μB/f.u.
Volume: 321.97 Å³/cell

Structure (CIF):
```
data_Th7Sn2Os2
_chemical_formula_sum 'Th7 Sn2 Os2'
_symmetry_space_group_name_H-M 'P 1'
_symmetry_Int_Tables_number 1
_cell_length_a 9.859
_cell_length_b 9.859
_cell_length_c 9.859
_cell_angle_alpha 157.59
_cell_angle_beta 67.36
_cell_angle_gamma 117.41
loop_
_symmetry_equiv_pos_as_xyz
'x,y,z'
loop_
_atom_site_label
_atom_site_type_symbol
_atom_site_fract_x
_atom_site_fract_y
_atom_site_fract_z
Th1 Th 0.000 0.000 0.000
Th2 Th 0.301 0.436 0.866
Th3 Th 0.317 0.638 0.680
Th4 Th 0.570 0.436 0.134
Th5 Th 0.617 0.272 0.345
Th6 Th 0.927 0.272 0.655
Th7 Th 0.958 0.638 0.320
Sn1 Sn 0.271 0.771 0.500
Sn2 Sn 0.677 0.677 0.000
Os1 Os 0.177 0.947 0.231
Os2 Os 0.716 0.947 0.769
```


Quick one: most stable of them? version Q